1.
DFT (PBE) results for a relaxed InNi3Se5 crystal.

Lattice parameters (Å, degrees): 5.5280 5.5280 6.7963 90.00 90.00 120.00
Last column: nearest neighbours and their distance in Å.
Sites, in units of the cell vectors:
In (0.0000, 0.0000, 0.0000)  14 Se 3.40-3.59
Ni (0.5000, 0.0000, 0.5000)  4 Se 2.36
Ni (0.0000, 0.5000, 0.5000)  4 Se 2.36
Ni (0.5000, 0.5000, 0.5000)  4 Se 2.36
Se (0.6667, 0.3333, 0.2433)  3 Ni 2.36
Se (0.3333, 0.6667, 0.2433)  3 Ni 2.36
Se (0.0000, 0.0000, 0.5000)  6 Ni 2.76
Se (0.6667, 0.3333, 0.7567)  3 Ni 2.36
Se (0.3333, 0.6667, 0.7567)  3 Ni 2.36

=====

2.
DFT (PBE) results for a relaxed TbInNiSe3 crystal.

Lattice parameters (Å, degrees): 3.8454 7.3320 10.5188 90.00 90.00 74.80
Last column: nearest neighbours and their distance in Å.
Sites, in units of the cell vectors:
In (0.2453, 0.5093, 0.2500)  6 Se 3.04-3.14
In (0.7547, 0.4907, 0.7500)  6 Se 3.04-3.14
Ni (0.5235, 0.9530, 0.2500)  4 Se 2.41
Ni (0.4765, 0.0470, 0.7500)  4 Se 2.41
Se (0.6374, 0.7252, 0.0795)  1 Ni 2.41
Se (0.9207, 0.1587, 0.2500)  2 Ni 2.41
Se (0.6374, 0.7252, 0.4205)  1 Ni 2.41
Se (0.3626, 0.2748, 0.5795)  1 Ni 2.41
Se (0.0794, 0.8413, 0.7500)  2 Ni 2.41
Se (0.3626, 0.2748, 0.9205)  1 Ni 2.41
Tb (0.0000, 0.0000, 0.0000)  6 Se 2.86
Tb (0.0000, 0.0000, 0.5000)  6 Se 2.86

=====

3.
DFT (PBE) results for a relaxed TlInNi2Se4 crystal.

Lattice parameters (Å, degrees): 7.1347 7.1347 7.1347 131.33 131.33 71.29
Last column: nearest neighbours and their distance in Å.
Sites, in units of the cell vectors:
In (0.0000, 0.0000, 0.0000)  4 Se 2.72
Ni (0.5000, 0.5000, 0.0000)  4 Se 2.34
Ni (0.7500, 0.2500, 0.5000)  4 Se 2.34
Se (0.6375, 0.1926, 0.0721)  2 Ni 2.34
Se (0.8074, 0.8795, 0.4449)  2 Ni 2.34
Se (0.4347, 0.3625, 0.5551)  2 Ni 2.34
Se (0.1205, 0.5653, 0.9279)  2 Ni 2.34
Tl (0.2500, 0.7500, 0.5000)  4 Se 2.82

=====

4.
DFT (PBE) results for a relaxed InSi5Ni3 crystal.

Lattice parameters (Å, degrees): 4.8954 4.8954 6.2201 90.00 90.00 120.00
Last column: nearest neighbours and their distance in Å.
Sites, in units of the cell vectors:
In (0.0000, 0.0000, 0.0000)  14 Si 3.07-3.11
Ni (0.5000, 0.0000, 0.5000)  6 Si 2.37-2.45, 4 Ni 2.45
Ni (0.0000, 0.5000, 0.5000)  6 Si 2.37-2.45, 4 Ni 2.45
Ni (0.5000, 0.5000, 0.5000)  6 Si 2.37-2.45, 4 Ni 2.45
Si (0.6667, 0.3333, 0.1940)  3 Ni 2.37, 1 Si 2.41
Si (0.3333, 0.6667, 0.1940)  3 Ni 2.37, 1 Si 2.41
Si (0.0000, 0.0000, 0.5000)  6 Ni 2.45
Si (0.6667, 0.3333, 0.8060)  3 Ni 2.37, 1 Si 2.41
Si (0.3333, 0.6667, 0.8060)  3 Ni 2.37, 1 Si 2.41

=====

5.
DFT (PBE) results for a relaxed Tb4InSi4Ni2 crystal.

Lattice parameters (Å, degrees): 7.9458 7.9458 6.9904 108.18 108.18 30.64
Last column: nearest neighbours and their distance in Å.
Sites, in units of the cell vectors:
In (0.0000, 0.0000, 0.0000)  4 Si 2.89-3.17
Ni (0.7849, 0.7849, 0.3581)  4 Si 2.34-2.48
Ni (0.2151, 0.2151, 0.6419)  4 Si 2.34-2.48
Si (0.2083, 0.2083, 0.2829)  3 Ni 2.38-2.48
Si (0.9355, 0.9355, 0.3457)  1 Ni 2.34, 1 Si 2.41
Si (0.0645, 0.0645, 0.6543)  1 Ni 2.34, 1 Si 2.41
Si (0.7917, 0.7917, 0.7171)  3 Ni 2.38-2.48
Tb (0.3447, 0.3447, 0.0626)  5 Si 2.91-3.10, 1 Ni 2.97
Tb (0.5899, 0.5899, 0.3872)  7 Si 2.92-3.20, 3 Ni 3.01-3.06
Tb (0.4101, 0.4101, 0.6128)  7 Si 2.92-3.20, 3 Ni 3.01-3.06
Tb (0.6553, 0.6553, 0.9374)  5 Si 2.91-3.10, 1 Ni 2.97

=====

6.
DFT (PBE) results for a relaxed Y4InSi4Ni2 crystal.

Lattice parameters (Å, degrees): 7.9358 7.9358 6.9610 108.06 108.06 30.55
Last column: nearest neighbours and their distance in Å.
Sites, in units of the cell vectors:
In (0.0000, 0.0000, 0.0000)  4 Si 2.88-3.15
Ni (0.7841, 0.7841, 0.3601)  4 Si 2.35-2.47
Ni (0.2159, 0.2159, 0.6399)  4 Si 2.35-2.47
Si (0.2075, 0.2075, 0.2796)  3 Ni 2.37-2.47
Si (0.9354, 0.9354, 0.3456)  1 Ni 2.35, 1 Si 2.41
Si (0.0646, 0.0646, 0.6544)  1 Ni 2.35, 1 Si 2.41
Si (0.7925, 0.7925, 0.7204)  3 Ni 2.37-2.47
Y (0.3448, 0.3448, 0.0630)  5 Si 2.90-3.08, 1 Ni 2.97
Y (0.5891, 0.5891, 0.3855)  7 Si 2.91-3.23, 3 Ni 3.01-3.05
Y (0.4109, 0.4109, 0.6145)  7 Si 2.91-3.23, 3 Ni 3.01-3.05
Y (0.6552, 0.6552, 0.9370)  5 Si 2.90-3.08, 1 Ni 2.97

=====

7.
DFT (PBE) results for a relaxed Sm4In8Ni7 crystal.

Lattice parameters (Å, degrees): 14.0516 14.0516 4.3327 90.00 90.00 117.48
Last column: nearest neighbours and their distance in Å.
Sites, in units of the cell vectors:
In (0.9133, 0.0867, 0.0000)  4 Ni 2.60
In (0.7222, 0.2778, 0.0000)  2 Ni 2.60
In (0.5000, 0.5000, 0.0000)  4 Ni 2.49
In (0.2778, 0.7222, 0.0000)  2 Ni 2.60
In (0.0867, 0.9133, 0.0000)  4 Ni 2.60
In (0.0000, 0.0000, 0.5000)  4 Ni 2.69, 4 In 3.01
In (0.5572, 0.1235, 0.5000)  2 Ni 2.66
In (0.3688, 0.1806, 0.5000)  6 Ni 2.59-2.89
In (0.8108, 0.1892, 0.5000)  2 Ni 2.67
In (0.1806, 0.3688, 0.5000)  6 Ni 2.59-2.89
In (0.8765, 0.4428, 0.5000)  2 Ni 2.66
In (0.1235, 0.5572, 0.5000)  2 Ni 2.66
In (0.8194, 0.6312, 0.5000)  6 Ni 2.59-2.89
In (0.1892, 0.8108, 0.5000)  2 Ni 2.67
In (0.6312, 0.8194, 0.5000)  6 Ni 2.59-2.89
In (0.4428, 0.8765, 0.5000)  2 Ni 2.66
Ni (0.5154, 0.2082, 0.0000)  1 Ni 2.38, 3 In 2.60-2.66
Ni (0.4092, 0.3004, 0.0000)  4 Ni 2.38-2.61, 3 In 2.49-2.64
Ni (0.3004, 0.4092, 0.0000)  4 Ni 2.38-2.61, 3 In 2.49-2.64
Ni (0.7918, 0.4846, 0.0000)  1 Ni 2.38, 3 In 2.60-2.66
Ni (0.2082, 0.5154, 0.0000)  1 Ni 2.38, 3 In 2.60-2.66
Ni (0.6996, 0.5908, 0.0000)  4 Ni 2.38-2.61, 3 In 2.49-2.64
Ni (0.5908, 0.6996, 0.0000)  4 Ni 2.38-2.61, 3 In 2.49-2.64
Ni (0.4846, 0.7918, 0.0000)  1 Ni 2.38, 3 In 2.60-2.66
Ni (0.1925, 0.0021, 0.5000)  5 In 2.59-2.69, 1 Ni 2.84
Ni (0.0021, 0.1925, 0.5000)  5 In 2.59-2.69, 1 Ni 2.84
Ni (0.3782, 0.3782, 0.5000)  4 Ni 2.55, 4 In 2.72-2.80
Ni (0.6218, 0.6218, 0.5000)  4 Ni 2.55, 4 In 2.72-2.80
Ni (0.9979, 0.8075, 0.5000)  5 In 2.59-2.69, 1 Ni 2.84
Ni (0.8075, 0.9979, 0.5000)  5 In 2.59-2.69, 1 Ni 2.84
Sm (0.6523, 0.0043, 0.0000)  3 Ni 2.82-3.10
Sm (0.1844, 0.1844, 0.0000)  2 Ni 2.81
Sm (0.9957, 0.3477, 0.0000)  3 Ni 2.82-3.10
Sm (0.0043, 0.6523, 0.0000)  3 Ni 2.82-3.10
Sm (0.8156, 0.8156, 0.0000)  2 Ni 2.81
Sm (0.3477, 0.9957, 0.0000)  3 Ni 2.82-3.10
Sm (0.6053, 0.3947, 0.5000)  10 Ni 3.09-3.27, 4 In 3.30-3.33
Sm (0.3947, 0.6053, 0.5000)  10 Ni 3.09-3.27, 4 In 3.30-3.33

=====

8.
DFT (PBE) results for a relaxed Sm2InNi2 crystal.

Lattice parameters (Å, degrees): 7.4670 7.4670 3.7553 90.00 90.00 149.14
Last column: nearest neighbours and their distance in Å.
Sites, in units of the cell vectors:
In (0.0000, 0.0000, 0.0000)  2 Ni 2.88
Ni (0.7999, 0.2001, 0.0000)  2 Ni 2.45
Ni (0.2001, 0.7999, 0.0000)  2 Ni 2.45
Sm (0.6371, 0.3629, 0.5000)  6 Ni 2.88-3.00
Sm (0.3629, 0.6371, 0.5000)  6 Ni 2.88-3.00

=====

9.
DFT (PBE) results for a relaxed SmIn2Ni crystal.

Lattice parameters (Å, degrees): 9.7080 9.7080 4.3223 90.00 90.00 153.32
Last column: nearest neighbours and their distance in Å.
Sites, in units of the cell vectors:
In (0.5000, 0.5000, 0.0000)  4 Ni 2.57
In (0.0000, 0.0000, 0.5000)  4 Ni 2.64
In (0.7060, 0.2940, 0.5000)  1 Ni 2.49, 2 In 2.79
In (0.2940, 0.7060, 0.5000)  1 Ni 2.49, 2 In 2.79
Ni (0.5741, 0.4259, 0.5000)  5 In 2.49-2.64
Ni (0.4259, 0.5741, 0.5000)  5 In 2.49-2.64
Sm (0.8606, 0.1394, 0.0000)  4 Ni 3.35, 10 In 3.36-3.63
Sm (0.1394, 0.8606, 0.0000)  4 Ni 3.35, 10 In 3.36-3.63

=====

10.
DFT (PBE) results for a relaxed Sm4InNi2Sn4 crystal.

Lattice parameters (Å, degrees): 8.4979 8.4979 7.5588 108.75 108.75 31.55
Last column: nearest neighbours and their distance in Å.
Sites, in units of the cell vectors:
In (0.0000, 0.0000, 0.0000)  4 Sn 3.04-3.31
Ni (0.7800, 0.7800, 0.3517)  4 Sn 2.53-2.70
Ni (0.2200, 0.2200, 0.6483)  4 Sn 2.53-2.70
Sm (0.3436, 0.3436, 0.0461)  1 Ni 3.01, 5 Sn 3.13-3.32
Sm (0.5911, 0.5911, 0.3921)  3 Ni 3.20-3.29, 7 Sn 3.24-3.42
Sm (0.4089, 0.4089, 0.6079)  3 Ni 3.20-3.29, 7 Sn 3.24-3.42
Sm (0.6564, 0.6564, 0.9539)  1 Ni 3.01, 5 Sn 3.13-3.32
Sn (0.2048, 0.2048, 0.2816)  3 Ni 2.59-2.70
Sn (0.9302, 0.9302, 0.3250)  1 Ni 2.53
Sn (0.0698, 0.0698, 0.6750)  1 Ni 2.53
Sn (0.7952, 0.7952, 0.7184)  3 Ni 2.59-2.70

=====

11.
DFT (PBE) results for a relaxed SmYInNi2 crystal.

Lattice parameters (Å, degrees): 3.7206 7.4995 7.4995 30.42 90.00 90.00
Last column: nearest neighbours and their distance in Å.
Sites, in units of the cell vectors:
In (0.0000, 0.0022, 0.0022)  2 Ni 2.87-2.96
Ni (0.0000, 0.2002, 0.2002)  2 Ni 2.42
Ni (0.0000, 0.7977, 0.7977)  2 Ni 2.42
Sm (0.5000, 0.3621, 0.3621)  6 Ni 2.86-2.99
Y (0.5000, 0.6378, 0.6378)  6 Ni 2.85-2.97

=====

12.
DFT (PBE) results for a relaxed SmY2In2Ni4 crystal.

Lattice parameters (Å, degrees): 5.3527 5.3527 8.5357 94.83 94.83 47.34
Last column: nearest neighbours and their distance in Å.
Sites, in units of the cell vectors:
In (0.3240, 0.3240, 0.2244)  5 Ni 2.60-2.67
In (0.6760, 0.6760, 0.7756)  5 Ni 2.60-2.67
Ni (0.7249, 0.7249, 0.0805)  3 In 2.60-2.62, 2 Ni 2.62, 1 Y 2.84, 1 Sm 2.84
Ni (0.9244, 0.9244, 0.3797)  1 Ni 2.42, 2 In 2.67
Ni (0.0756, 0.0756, 0.6203)  1 Ni 2.42, 2 In 2.67
Ni (0.2751, 0.2751, 0.9195)  3 In 2.60-2.62, 2 Ni 2.62, 1 Y 2.84, 1 Sm 2.84
Sm (0.0000, 0.0000, 0.0000)  6 Ni 2.84-3.11
Y (0.6292, 0.6292, 0.3843)  6 Ni 2.84-3.02, 1 In 3.17
Y (0.3708, 0.3708, 0.6157)  6 Ni 2.84-3.02, 1 In 3.17

=====

| no. | total DFT energy (no corrections) (eV/atom) |
| --- | --- |
| 1 | -4.248 |
| 2 | -4.784 |
| 3 | -4.055 |
| 4 | -5.235 |
| 5 | -5.708 |
| 6 | -6.388 |
| 7 | -4.591 |
| 8 | -5.149 |
| 9 | -4.322 |
| 10 | -5.086 |
| 11 | -5.521 |
| 12 | -5.471 |